A geometry-optimized AcZnSiNi6 structure, computed with PBE.

Unit cell a=5.199 b=7.599 c=13.549 alpha=90.00 beta=90.00 gamma=90.00
Space group Imma (No. 74)
Symmetry-distinct sites (fractional):
Ac (0.000, 0.250, 0.002) (multiplicity 4)
Zn (0.000, 0.000, 0.500) (multiplicity 4)
Si (0.250, 0.250, 0.750) (multiplicity 4)
Ni (0.000, 0.250, 0.248) (multiplicity 4)
Ni (0.000, 0.250, 0.615) (multiplicity 4)
Ni (0.248, 0.017, 0.339) (multiplicity 16)

Values from the calculation:
DFT total energy   -188.3 eV/cell
Volume   535 Å³/cell
E_form (uncorrected)   -0.176 eV per atom
Total magnetic moment   0.00 Bohr magnetons per cell